Entry from Alexandria: Ac2Zn2Pt5Au after structural relaxation (PBE).

The calculation puts the formation energy at -684 meV/atom. As for the volume: 19.6 Å³/atom. The calculation puts the total energy at -5.108 eV per atom.

The space group is P4/mbm (No. 127) and the conventional cell measures 9.985, 9.985 and 3.927 Å, with angles of 90.00, 90.00 and 90.00 degrees. Symmetry generates all atoms from Ac at (0.182, 0.318, 0.000), Zn at (0.115, 0.615, 0.000), Pt at (0.000, 0.500, 0.500), Pt at (0.060, 0.791, 0.500) and Au at (0.000, 0.000, 0.000).


Entry from Alexandria: CeErPt2 after structural relaxation (PBE).

The calculation puts the formation energy at -1213 meV/atom. As for the volume: 22.5 Å³/atom. The calculation puts the total energy at -6.858 eV per atom.

The space group is Amm2 (No. 38) and the conventional cell measures 4.505, 3.751 and 10.669 Å, with angles of 90.00, 90.00 and 90.00 degrees. Symmetry generates all atoms from Ce at (0.000, 0.000, 0.000), Er at (0.500, 0.000, 0.274), Pt at (0.000, 0.000, 0.728) and Pt at (0.500, 0.000, 0.545).


Entry from Alexandria: TlAgPb2 after structural relaxation (PBE).

The calculation puts the formation energy at 105 meV/atom. As for the volume: 27.8 Å³/atom. The calculation puts the total energy at -3.053 eV per atom.

The space group is F-43m (No. 216) and the conventional cell measures 7.635, 7.635 and 7.635 Å, with angles of 90.00, 90.00 and 90.00 degrees. Symmetry generates all atoms from Tl at (0.000, 0.000, 0.000), Ag at (0.250, 0.250, 0.750), Pb at (0.000, 0.000, 0.500) and Pb at (0.250, 0.250, 0.250).